Material: LaSn2GeRu2
Method: DFT, PBE-GGA
State: optimized geometry

Cell lengths 4.690, 4.690, 6.056 Å; angles 90.00, 90.00, 90.00 degrees
Space group P4/mmm (No. 123)
Symmetry-distinct sites (fractional):
La: 0.000 0.000 0.000 (multiplicity 1)
Sn: 0.500 0.500 0.239 (multiplicity 2)
Ge: 0.000 0.000 0.500 (multiplicity 1)
Ru: 0.000 0.500 0.500 (multiplicity 2)

Properties
Energy of formation from the pure elements   -0.26 eV per atom
E_tot   -37.7 eV per formula unit
Fermi-level density of states   0.948 states/eV/atom
Magnetic moment   1.45 μB per cell